# 1
{"formula": "TmBi2RuO8", "functional": "PBE-GGA", "state": "relaxed", "energy_ev_per_cell": -78.90, "magnetic_moment_mub_per_cell": 0.53, "n_ef_per_ev_fu": 5.08, "cell": [[5.059, 0.000, 0.000], [0.000, 6.737, 0.000], [-0.042, 0.000, 5.078]], "species": ["Tm", "Bi", "Bi", "Ru", "O", "O", "O", "O", "O", "O", "O", "O"], "fractional_positions": [[0.000, 0.000, 0.000], [0.500, 0.253, 0.500], [0.500, 0.747, 0.500], [0.000, 0.500, 0.000], [0.167, 0.275, 0.197], [0.167, 0.725, 0.197], [0.282, 0.500, 0.765], [0.320, 0.000, 0.703], [0.680, 0.000, 0.297], [0.718, 0.500, 0.235], [0.833, 0.275, 0.803], [0.833, 0.725, 0.803]]}

---

# 2
{"formula": "UBiRuO6", "functional": "PBE-GGA", "state": "relaxed", "energy_ev_per_cell": -143.35, "magnetic_moment_mub_per_cell": 2.10, "n_ef_per_ev_fu": 5.64, "cell": [[5.337, 0.000, 0.000], [-2.668, 4.622, 0.000], [0.000, 0.000, 10.490]], "species": ["U", "U", "Bi", "Bi", "Ru", "Ru", "O", "O", "O", "O", "O", "O", "O", "O", "O", "O", "O", "O"], "fractional_positions": [[0.333, 0.667, 0.250], [0.667, 0.333, 0.750], [0.000, 0.000, 0.000], [0.000, 0.000, 0.500], [0.333, 0.667, 0.750], [0.667, 0.333, 0.250], [0.010, 0.359, 0.639], [0.010, 0.652, 0.861], [0.348, 0.359, 0.861], [0.348, 0.990, 0.639], [0.359, 0.010, 0.139], [0.359, 0.348, 0.361], [0.641, 0.652, 0.639], [0.641, 0.990, 0.861], [0.652, 0.010, 0.361], [0.652, 0.641, 0.139], [0.990, 0.348, 0.139], [0.990, 0.641, 0.361]]}